No. 1
Mg4Mn2Zn | PBE-GGA | relaxed

The value obtained for the electronic total energy is -21.80 eV per cell. The calculation puts the theoretical density at 2.72 g/cm³. The space group is I4/mmm.

abc: 4.949 4.949 7.651
angles: 71.13 71.13 90.00
Site moments in Bohr magnetons follow the coordinates.
Fractional positions:
1 Zn 0.000 0.000 0.000  0.01
2 Mn 0.600 0.600 0.800  3.79
3 Mn 0.400 0.400 0.200  3.79
4 Mg 0.805 0.805 0.390  -0.01
5 Mg 0.195 0.195 0.610  -0.01
6 Mg 0.000 0.500 0.000  -0.02
7 Mg 0.500 0.000 0.000  -0.02


No. 2
MgMn2Zn | PBE-GGA | relaxed

The value obtained for the electronic total energy is -20.25 eV per cell. The calculation puts the theoretical density at 5.31 g/cm³. The space group is C2/m.

abc: 4.825 4.825 4.839
angles: 78.96 78.96 34.45
Site moments in Bohr magnetons follow the coordinates.
Fractional positions:
1 Mg 0.250 0.250 0.250  -0.03
2 Mn 0.008 0.008 0.989  3.37
3 Mn 0.492 0.492 0.511  3.37
4 Zn 0.750 0.750 0.750  -0.05


No. 3
Mg2MnZn | PBE-GGA | relaxed

The value obtained for the electronic total energy is -13.20 eV per cell. The calculation puts the theoretical density at 3.97 g/cm³. The space group is Cm.

abc: 5.550 5.550 4.632
angles: 63.57 63.57 33.99
Site moments in Bohr magnetons follow the coordinates.
Fractional positions:
1 Mg 0.016 0.016 0.989  -0.03
2 Mg 0.237 0.237 0.259  -0.02
3 Mn 0.481 0.481 0.525  3.45
4 Zn 0.766 0.766 0.728  -0.04


No. 4
Mg2MnZn | PBE-GGA | relaxed

The value obtained for the electronic total energy is -13.15 eV per cell. The calculation puts the theoretical density at 4.05 g/cm³. The space group is I-4m2.

abc: 4.928 4.928 4.928
angles: 129.56 129.56 74.11
Site moments in Bohr magnetons follow the coordinates.
Fractional positions:
1 Mg 0.000 0.000 0.000  -0.03
2 Mg 0.250 0.750 0.500  -0.03
3 Mn 0.500 0.500 0.000  3.51
4 Zn 0.750 0.250 0.500  -0.05


No. 5
Mg2MnZn | PBE-GGA | relaxed

The value obtained for the electronic total energy is -23.94 eV per cell. The calculation puts the theoretical density at 3.63 g/cm³. The space group is I-42d.

abc: 7.483 7.483 5.968
angles: 51.18 51.18 90.00
Site moments in Bohr magnetons follow the coordinates.
Fractional positions:
1 Zn 0.000 0.000 0.000  -0.06
2 Zn 0.750 0.250 0.500  -0.06
3 Mn 0.500 0.500 0.000  3.56
4 Mn 0.250 0.750 0.500  3.56
5 Mg 0.640 0.125 0.250  -0.03
6 Mg 0.110 0.625 0.250  -0.03
7 Mg 0.375 0.360 0.750  -0.03
8 Mg 0.875 0.890 0.750  -0.03


No. 6
MgMn2Zn | PBE-GGA | relaxed

The value obtained for the electronic total energy is -20.21 eV per cell. The calculation puts the theoretical density at 5.43 g/cm³. The space group is I-4m2.

abc: 4.878 4.878 4.878
angles: 132.96 132.96 68.72
Site moments in Bohr magnetons follow the coordinates.
Fractional positions:
1 Mg 0.750 0.250 0.500  -0.04
2 Mn 0.000 0.000 0.000  3.29
3 Mn 0.250 0.750 0.500  3.25
4 Zn 0.500 0.500 0.000  -0.09


No. 7
MgMnZn4 | PBE-GGA | relaxed

The value obtained for the electronic total energy is -15.88 eV per cell. The calculation puts the theoretical density at 6.08 g/cm³. The space group is F-43m.

abc: 5.086 5.086 5.086
angles: 60.00 60.00 60.00
Site moments in Bohr magnetons follow the coordinates.
Fractional positions:
1 Mg 0.250 0.250 0.250  -0.01
2 Mn 0.000 0.000 0.000  3.64
3 Zn 0.123 0.626 0.626  -0.03
4 Zn 0.626 0.626 0.626  -0.03
5 Zn 0.626 0.123 0.626  -0.03
6 Zn 0.626 0.626 0.123  -0.03


No. 8
MgMn2Zn | PBE-GGA | relaxed

The value obtained for the electronic total energy is -20.29 eV per cell. The calculation puts the theoretical density at 5.45 g/cm³. The space group is Imm2.

abc: 5.292 5.292 5.292
angles: 147.49 129.56 61.30
Site moments in Bohr magnetons follow the coordinates.
Fractional positions:
1 Mg 0.256 0.756 0.500  -0.04
2 Mn 0.989 0.989 0.000  3.23
3 Mn 0.746 0.246 0.500  3.15
4 Zn 0.510 0.510 0.000  -0.07


Number 1: formation energy 4.2 eV/f.u.. Number 2: formation energy 1.0 eV/f.u.. Number 3: formation energy 0.4 eV/f.u.. Number 4: formation energy 0.5 eV/f.u.. Number 5: formation energy 1.7 eV/f.u.. Number 6: formation energy 1.0 eV/f.u.. Number 7: formation energy 0.0 eV/f.u.. Number 8: formation energy 0.9 eV/f.u..